[1]
NaLi4Pm | Alexandria via LeMat-Bulk | PBE | relaxed; energy of formation = 0.150 eV/atom; N(E_F) = 0.83 states/eV/atom; SG = F-43m (216)
1.0
0.000 4.209 4.209
4.209 0.000 4.209
4.209 4.209 0.000
Na Li Pm
1 4 1
Cartesian
0.000 0.000 0.000
5.264 3.155 3.155
3.155 5.264 3.155
3.155 3.155 5.264
5.264 5.264 5.264
2.105 2.105 2.105


[2]
SmAl4Ag2Pd | Alexandria via LeMat-Bulk | PBE | relaxed; energy of formation = -0.392 eV/atom; N(E_F) = 0.40 states/eV/atom; SG = R-3m (166)
1.0
2.201 1.271 8.858
-2.201 1.271 8.858
0.000 -2.541 8.858
Sm Al Ag Pd
1 4 2 1
Cartesian
0.000 0.000 0.000
0.000 0.000 3.509
0.000 0.000 10.686
0.000 0.000 15.887
0.000 0.000 23.065
0.000 0.000 6.465
0.000 0.000 20.109
0.000 0.000 13.287


Q: Which formula does entry 2 have?
A: SmAl4Ag2Pd


Q: What is the energy of formation in the first record?
A: 0.150 eV/atom


Q: N(E_F) of number 1 (NaLi4Pm)?
A: 0.83 states/eV/atom


Q: The lowest N(E_F) belongs to which entry?
A: SmAl4Ag2Pd